1.
A relaxed TcRuCl crystal. Source: Alexandria, functional GGA-PBE.

total magnetic moment: 0.0 Bohr magnetons per cell
calculated density: 7.6 g cm⁻³
E above lowest polymorph: 0.5613 eV/atom
formation energy from raw total energies: 817.4 meV per atom
electronic total energy: -76.145 eV/cell
calculated volume: 205 Å³/cell

```
data_TcRuCl
_chemical_formula_sum 'Tc4 Ru4 Cl4'
_cell_length_a 5.893
_cell_length_b 5.893
_cell_length_c 5.893
_cell_angle_alpha 90.00
_cell_angle_beta 90.00
_cell_angle_gamma 90.00
_symmetry_space_group_name_H-M 'F -4 3 m'
_symmetry_Int_Tables_number 216
_symmetry_space_group_name_Hall 'F -4 2 3'
loop_
_atom_site_label
_atom_site_type_symbol
_atom_site_fract_x
_atom_site_fract_y
_atom_site_fract_z
Tc1 Tc 0.000 0.000 0.000
Ru1 Ru 0.250 0.250 0.250
Cl1 Cl 0.250 0.250 0.750
```

***

2.
A relaxed TcRuCl crystal. Source: Alexandria, functional GGA-PBE.

total magnetic moment: 0.9 Bohr magnetons per cell
calculated density: 8.3 g cm⁻³
E above lowest polymorph: 0.3383 eV/atom
formation energy from raw total energies: 594.4 meV per atom
electronic total energy: -78.821 eV/cell
calculated volume: 188 Å³/cell

```
data_TcRuCl
_chemical_formula_sum 'Tc4 Ru4 Cl4'
_cell_length_a 2.863
_cell_length_b 5.050
_cell_length_c 13.010
_cell_angle_alpha 90.00
_cell_angle_beta 90.00
_cell_angle_gamma 90.00
_symmetry_space_group_name_H-M 'F m m 2'
_symmetry_Int_Tables_number 42
_symmetry_space_group_name_Hall 'F 2 -2'
loop_
_atom_site_label
_atom_site_type_symbol
_atom_site_fract_x
_atom_site_fract_y
_atom_site_fract_z
Tc1 Tc 0.000 0.000 0.000
Ru1 Ru 0.000 0.000 0.658
Cl1 Cl 0.000 0.000 0.333
```

***

3.
A relaxed TcRu2Cl2 crystal. Source: Alexandria, functional GGA-PBE.

total magnetic moment: 4.1 Bohr magnetons per cell
calculated density: 7.5 g cm⁻³
formation energy from raw total energies: 1053.3 meV per atom
electronic total energy: -54.689 eV/cell
calculated volume: 165 Å³/cell

```
data_TcRu2Cl2
_chemical_formula_sum 'Tc2 Ru4 Cl4'
_cell_length_a 4.772
_cell_length_b 4.772
_cell_length_c 7.253
_cell_angle_alpha 90.00
_cell_angle_beta 90.00
_cell_angle_gamma 90.00
_symmetry_space_group_name_H-M 'I 4/m m m'
_symmetry_Int_Tables_number 139
_symmetry_space_group_name_Hall '-I 4 2'
loop_
_atom_site_label
_atom_site_type_symbol
_atom_site_fract_x
_atom_site_fract_y
_atom_site_fract_z
Tc1 Tc 0.000 0.000 0.000
Ru1 Ru 0.000 0.500 0.250
Cl1 Cl 0.000 0.000 0.311
```